A relaxed structure of Si2NiPb, computed with GGA-PBE.

Values from the calculation:
ΔE_f (raw) in meV per atom: 595.7
Space group: Cmmm, No. 65
Energy in eV per atom: -4.488
Spin magnetization in μB/f.u.: 0.00

Cell: 4.5681 4.5681 3.7528 Å, 90.00 90.00 110.56°
With the nearest neighbours (Å) after each atom.
Sites, in units of the cell vectors:
Pb  0.0000  0.5000  0.5000  2 Ni 2.60
Ni  0.5000  0.0000  0.5000  2 Pb 2.60
Si  0.0000  0.0000  0.0000  2 Si 2.60
Si  0.5000  0.5000  0.0000  2 Si 2.60